Entry 1:
A plane-wave DFT calculation with PBE-GGA was carried out for a relaxed Sr3Mg2In7 crystal.

Lattice parameters (Å, degrees): 10.626 10.626 10.626 34.47 34.47 34.47
Sites, in units of the cell vectors:
Sr 0.000 0.000 0.000
Sr 0.142 0.142 0.142
Sr 0.858 0.858 0.858
Mg 0.335 0.335 0.335
Mg 0.665 0.665 0.665
In 0.075 0.585 0.585
In 0.415 0.415 0.925
In 0.415 0.925 0.415
In 0.500 0.500 0.500
In 0.585 0.075 0.585
In 0.585 0.585 0.075
In 0.925 0.415 0.415

Calculated values
Uncorrected energy (eV per atom): -2.599

=====

Entry 2:
A plane-wave DFT calculation with PBE-GGA was carried out for a relaxed Sr8MgIn2 crystal.

Lattice parameters (Å, degrees): 9.981 9.981 9.981 146.45 121.25 69.38
Sites, in units of the cell vectors:
Sr 0.128 0.339 0.789
Sr 0.139 0.139 0.000
Sr 0.321 0.000 0.321
Sr 0.450 0.661 0.789
Sr 0.550 0.339 0.211
Sr 0.679 0.000 0.679
Sr 0.861 0.861 0.000
Sr 0.872 0.661 0.211
Mg 0.000 0.500 0.500
In 0.304 0.804 0.500
In 0.696 0.196 0.500

Calculated values
Uncorrected energy (eV per atom): -2.009

=====

Entry 3:
A plane-wave DFT calculation with PBE-GGA was carried out for a relaxed Sr4MgIn3 crystal.

Lattice parameters (Å, degrees): 10.028 10.028 10.028 33.52 33.52 33.52
Sites, in units of the cell vectors:
Sr 0.123 0.123 0.123
Sr 0.373 0.373 0.373
Sr 0.627 0.627 0.627
Sr 0.877 0.877 0.877
Mg 0.500 0.500 0.500
In 0.000 0.000 0.000
In 0.247 0.247 0.247
In 0.753 0.753 0.753

Calculated values
Uncorrected energy (eV per atom): -2.420

=====

Entry 4:
A plane-wave DFT calculation with PBE-GGA was carried out for a relaxed Sr2MgIn crystal.

Lattice parameters (Å, degrees): 6.919 6.919 6.919 145.78 130.24 61.78
Sites, in units of the cell vectors:
Sr 0.000 0.000 0.000
Sr 0.704 0.204 0.500
Mg 0.433 0.433 0.000
In 0.248 0.748 0.500

Calculated values
Uncorrected energy (eV per atom): -2.137

=====

Entry 5:
A plane-wave DFT calculation with PBE-GGA was carried out for a relaxed Sr3Mg6In5 crystal.

Lattice parameters (Å, degrees): 9.354 9.354 9.354 148.74 111.56 77.16
Sites, in units of the cell vectors:
Sr 0.000 0.000 0.000
Sr 0.287 0.287 0.000
Sr 0.713 0.713 0.000
Mg 0.142 0.857 0.285
Mg 0.325 0.500 0.825
Mg 0.427 0.143 0.285
Mg 0.573 0.857 0.715
Mg 0.675 0.500 0.175
Mg 0.858 0.143 0.715
In 0.013 0.654 0.359
In 0.295 0.654 0.641
In 0.500 0.000 0.500
In 0.705 0.346 0.359
In 0.987 0.346 0.641

Calculated values
Uncorrected energy (eV per atom): -2.301

=====

Entry 6:
A plane-wave DFT calculation with PBE-GGA was carried out for a relaxed Sr2MgIn crystal.

Lattice parameters (Å, degrees): 4.005 4.005 9.211 90.00 90.00 90.00
Sites, in units of the cell vectors:
Sr 0.000 0.000 0.000
Sr 0.500 0.500 0.362
Mg 0.500 0.500 0.754
In 0.000 0.000 0.601

Calculated values
Uncorrected energy (eV per atom): -2.070

=====

Total magnetization, respectively: 0.00; 0.02; 0.00; 0.00; 0.00; 0.00 μB/atom.
ΔH_f (0 K), respectively: -315.7; -142.5; -352.9; -213.0; -279.0; -146.1 meV per atom.